# HfScAg4

A geometry-optimized HfScAg4 structure (PBE, the Open Quantum Materials Database).

```
HfScAg4
1.0
3.542 0.000 0.000
0.000 3.542 0.000
0.000 0.000 8.935
Ag Hf Sc
4 1 1
Direct
0.500 0.500 0.832
0.500 0.500 0.168
0.000 0.000 0.332
0.000 0.000 0.668
0.000 0.000 0.000
0.500 0.500 0.500
```

Values from the calculation:
* formation enthalpy at 0 K: -168 meV/atom
* total magnetic moment: 0.26 Bohr magnetons per cell


# PtCl5

A geometry-optimized PtCl5 structure (PBE, the Open Quantum Materials Database).

```
PtCl5
1.0
-6.055 -0.962 -0.114
3.444 -3.623 4.387
-1.292 8.012 3.357
Cl Pt
10 2
Direct
0.367 0.926 0.162
0.562 0.312 0.549
0.009 0.129 0.355
0.438 0.688 0.451
0.206 0.519 0.755
0.633 0.074 0.838
0.242 0.308 0.059
0.758 0.692 0.941
0.794 0.481 0.245
0.991 0.871 0.645
0.397 0.299 0.293
0.603 0.701 0.707
```

Values from the calculation:
* total magnetic moment: 2.00 Bohr magnetons per cell
* calculated total energy: -16.645 eV/f.u.


# NaTaReAs

A geometry-optimized NaTaReAs structure (PBE, the Open Quantum Materials Database).

```
NaTaReAs
1.0
0.000 3.212 3.212
3.212 0.000 3.212
3.212 3.212 0.000
As Re Ta Na
1 1 1 1
Direct
0.000 0.000 0.000
0.500 0.500 0.500
0.250 0.250 0.250
0.750 0.750 0.750
```

Values from the calculation:
* total magnetic moment: 0.00 Bohr magnetons per cell
* energy relative to the lowest polymorph listed for this composition: 62 kJ/mol of formula units


# Ni4GeAsC2

A geometry-optimized Ni4GeAsC2 structure (PBE, the Open Quantum Materials Database).

```
Ni4GeAsC2
1.0
2.977 0.000 0.000
-1.489 2.578 0.000
0.000 0.000 12.324
Ni As C Ge
4 1 2 1
Direct
0.667 0.333 0.672
0.667 0.333 0.328
0.000 0.000 0.825
0.000 0.000 0.175
0.000 0.000 0.500
0.333 0.667 0.251
0.333 0.667 0.749
0.667 0.333 0.000
```

Values from the calculation:
* total magnetic moment: 0.02 Bohr magnetons per cell
* calculated total energy: -47.042 eV/f.u.


# RbBeCo

A geometry-optimized RbBeCo structure (PBE, the Open Quantum Materials Database).

```
RbBeCo
1.0
0.000 3.395 3.395
3.395 0.000 3.395
3.395 3.395 0.000
Co Rb Be
1 1 1
Direct
0.250 0.250 0.250
0.750 0.750 0.750
0.000 0.000 0.000
```

Values from the calculation:
* total magnetic moment: 1.59 Bohr magnetons per cell
* energy relative to the lowest polymorph listed for this composition: 8 kJ/mol of formula units


# Zr4Ga3

A geometry-optimized Zr4Ga3 structure (PBE, the Open Quantum Materials Database).

```
Zr4Ga3
1.0
5.323 6.147 0.000
-2.662 7.684 0.000
0.000 0.000 4.941
Zr Ga
8 6
Direct
0.829 0.711 0.000
0.143 0.286 0.000
0.031 0.972 0.000
0.921 0.266 0.500
0.810 0.952 0.500
0.384 0.064 0.500
0.123 0.527 0.500
0.569 0.174 0.000
0.661 0.665 0.500
0.430 0.849 0.000
0.706 0.435 0.000
0.522 0.389 0.500
0.246 0.803 0.500
0.292 0.573 0.000
```

Values from the calculation:
* total magnetic moment: 0.05 Bohr magnetons per cell
* calculated total energy: -44.898 eV/f.u.


# Ba3Zr4

A geometry-optimized Ba3Zr4 structure (PBE, the Open Quantum Materials Database).

```
Ba3Zr4
1.0
-5.497 6.343 6.304
-0.613 -2.055 10.277
4.119 2.774 0.801
Zr Ba
8 6
Direct
0.341 0.187 0.500
0.143 0.286 0.000
0.044 0.484 0.500
0.044 0.187 0.500
0.909 0.051 0.000
0.612 0.052 0.000
0.809 0.952 0.500
0.908 0.754 0.000
0.324 0.469 0.000
0.326 0.922 0.000
0.628 0.769 0.500
0.779 0.467 0.000
0.173 0.771 0.500
0.627 0.316 0.500
```

Values from the calculation:
* total magnetic moment: 0.10 Bohr magnetons per cell
* energy relative to the lowest polymorph listed for this composition: 0 kJ/mol of formula units


# ScCoCuBi

A geometry-optimized ScCoCuBi structure (PBE, the Open Quantum Materials Database).

```
ScCoCuBi
1.0
-2.414 -3.283 2.089
0.591 -0.781 4.473
-3.295 1.122 2.975
Co Sc Cu Bi
1 1 1 1
Direct
0.000 0.000 0.000
0.500 0.500 0.500
0.750 0.750 0.750
0.250 0.250 0.250
```

Values from the calculation:
* total magnetic moment: 0.26 Bohr magnetons per cell
* energy relative to the lowest polymorph listed for this composition: 43 kJ/mol of formula units


# Na4AsPAu2

A geometry-optimized Na4AsPAu2 structure (PBE, the Open Quantum Materials Database).

```
Na4AsPAu2
1.0
3.004 4.693 -0.737
-3.977 3.834 -1.035
-0.379 1.123 5.633
Na P As Au
4 1 1 2
Direct
0.331 0.029 0.999
0.034 0.326 0.501
0.674 0.966 0.499
0.971 0.669 0.001
0.215 0.785 0.500
0.790 0.210 0.000
0.492 0.508 0.250
0.492 0.508 0.750
```

Values from the calculation:
* calculated total energy: -25.733 eV/f.u.


# NaLuCdSe3

A geometry-optimized NaLuCdSe3 structure (PBE, the Open Quantum Materials Database).

```
NaLuCdSe3
1.0
13.793 0.000 0.000
0.000 4.113 0.000
0.000 0.000 11.154
Se Cd Lu Na
12 4 4 4
Direct
0.352 0.250 0.265
0.892 0.250 0.624
0.108 0.750 0.376
0.104 0.250 0.075
0.896 0.750 0.925
0.148 0.750 0.765
0.852 0.250 0.235
0.608 0.750 0.124
0.604 0.250 0.425
0.396 0.750 0.575
0.392 0.250 0.876
0.648 0.750 0.735
0.485 0.250 0.100
0.985 0.250 0.400
0.515 0.750 0.900
0.015 0.750 0.600
0.978 0.750 0.150
0.522 0.250 0.650
0.022 0.250 0.850
0.478 0.750 0.350
0.740 0.250 0.941
0.240 0.250 0.559
0.260 0.750 0.059
0.760 0.750 0.441
```

Values from the calculation:
* total magnetic moment: 0.02 Bohr magnetons per cell
* energy relative to the lowest polymorph listed for this composition: 5 kJ/mol of formula units


# HoBPt

A geometry-optimized HoBPt structure (PBE, the Open Quantum Materials Database).

```
HoBPt
1.0
0.000 3.067 3.067
3.067 0.000 3.067
3.067 3.067 0.000
Ho B Pt
1 1 1
Direct
0.750 0.750 0.750
0.250 0.250 0.250
0.000 0.000 0.000
```

Values from the calculation:
* total magnetic moment: 0.56 Bohr magnetons per cell
* energy relative to the lowest polymorph listed for this composition: 112 kJ/mol of formula units


# LiHfAlPd

A geometry-optimized LiHfAlPd structure (PBE, the Open Quantum Materials Database).

```
LiHfAlPd
1.0
-3.729 -0.453 2.415
-3.977 -0.095 -2.029
-2.326 -3.808 -0.177
Al Pd Hf Li
1 1 1 1
Direct
0.500 0.500 0.500
0.750 0.750 0.750
0.000 0.000 0.000
0.250 0.250 0.250
```

Values from the calculation:
* total magnetic moment: 0.00 Bohr magnetons per cell
* energy relative to the lowest polymorph listed for this composition: 0 kJ/mol of formula units


# MgUPd

A geometry-optimized MgUPd structure (PBE, the Open Quantum Materials Database).

```
MgUPd
1.0
0.000 3.285 3.285
3.285 0.000 3.285
3.285 3.285 0.000
Mg U Pd
1 1 1
Direct
0.250 0.250 0.250
0.750 0.750 0.750
0.000 0.000 0.000
```

Values from the calculation:
* total magnetic moment: 3.01 Bohr magnetons per cell
* calculated total energy: -17.497 eV/f.u.


# PmGdSe2S

A geometry-optimized PmGdSe2S structure (PBE, the Open Quantum Materials Database).

```
PmGdSe2S
1.0
4.549 0.000 0.000
-2.274 3.939 0.000
0.000 0.000 7.504
Pm Se S Gd
1 2 1 1
Direct
0.333 0.667 0.219
0.333 0.667 0.646
0.000 0.000 0.363
0.667 0.333 0.998
0.000 0.000 0.774
```

Values from the calculation:
* total magnetic moment: 0.00 Bohr magnetons per cell
* calculated total energy: -29.376 eV/f.u.


# HfBMo

A geometry-optimized HfBMo structure (PBE, the Open Quantum Materials Database).

```
HfBMo
1.0
3.651 -0.349 2.074
0.359 -2.731 3.188
2.355 -3.465 -0.449
B Hf Mo
1 1 1
Direct
0.250 0.250 0.250
0.000 0.000 0.000
0.750 0.750 0.750
```

Values from the calculation:
* total magnetic moment: 1.15 Bohr magnetons per cell
* energy relative to the lowest polymorph listed for this composition: 600 kJ/mol of formula units


# HfZnFeNi

A geometry-optimized HfZnFeNi structure (PBE, the Open Quantum Materials Database).

```
HfZnFeNi
1.0
0.000 3.012 3.012
3.012 0.000 3.012
3.012 3.012 0.000
Hf Fe Ni Zn
1 1 1 1
Direct
0.500 0.500 0.500
0.750 0.750 0.750
0.250 0.250 0.250
0.000 0.000 0.000
```

Values from the calculation:
* formation enthalpy at 0 K: -233 meV/atom
* total magnetic moment: 0.01 Bohr magnetons per cell
* energy relative to the lowest polymorph listed for this composition: 0 kJ/mol of formula units


# AgSnF5

A geometry-optimized AgSnF5 structure (PBE, the Open Quantum Materials Database).

```
AgSnF5
1.0
-4.324 -2.152 2.062
-0.431 -4.946 -1.712
5.813 0.397 5.703
F Sn Ag
10 2 2
Direct
0.191 0.603 0.477
0.397 0.809 0.023
0.082 0.362 0.124
0.918 0.638 0.876
0.953 0.047 0.750
0.603 0.191 0.977
0.638 0.918 0.376
0.362 0.082 0.624
0.047 0.953 0.250
0.809 0.397 0.523
0.000 0.000 0.500
0.000 0.000 0.000
0.506 0.494 0.250
0.494 0.506 0.750
```

Values from the calculation:
* calculated total energy: -30.150 eV/f.u.


# Pr2ErMg3CdIn2

A geometry-optimized Pr2ErMg3CdIn2 structure (PBE, the Open Quantum Materials Database).

```
Pr2ErMg3CdIn2
1.0
4.727 0.000 0.000
0.000 6.554 3.873
0.000 -6.554 3.873
Pr Cd In Mg Er
2 1 2 3 1
Direct
0.000 0.425 0.003
0.000 0.003 0.425
0.000 0.989 0.989
0.500 0.665 0.341
0.500 0.341 0.665
0.500 0.760 0.000
0.500 0.237 0.237
0.500 0.000 0.760
0.000 0.579 0.579
```

Values from the calculation:
* total magnetic moment: 0.01 Bohr magnetons per cell
* calculated total energy: -28.516 eV/f.u.


# Pr3InCu2Hg2Pd

A geometry-optimized Pr3InCu2Hg2Pd structure (PBE, the Open Quantum Materials Database).

```
Pr3InCu2Hg2Pd
1.0
4.017 0.000 0.000
0.000 6.826 3.869
0.000 -6.826 3.869
Pd Pr Hg In Cu
1 3 2 1 2
Direct
0.000 0.990 0.990
0.000 0.595 0.005
0.000 0.396 0.396
0.000 0.005 0.595
0.500 0.265 0.997
0.500 0.997 0.265
0.500 0.741 0.741
0.500 0.668 0.343
0.500 0.343 0.668
```

Values from the calculation:
* total magnetic moment: 0.02 Bohr magnetons per cell
* calculated total energy: -34.271 eV/f.u.


# GdLu2Hg

A geometry-optimized GdLu2Hg structure (PBE, the Open Quantum Materials Database).

```
GdLu2Hg
1.0
5.353 0.000 0.000
0.000 3.574 5.726
0.000 -3.574 5.726
Hg Lu Gd
2 4 2
Direct
0.500 0.324 0.839
0.500 0.839 0.324
0.500 0.849 0.849
0.000 0.160 0.160
0.000 0.662 0.167
0.000 0.167 0.662
0.500 0.341 0.341
0.000 0.659 0.659
```

Values from the calculation:
* formation enthalpy at 0 K: -109 meV/atom
* total magnetic moment: 0.02 Bohr magnetons per cell
* energy relative to the lowest polymorph listed for this composition: 21 kJ/mol of formula units


# TbGd2In3PtAu2

A geometry-optimized TbGd2In3PtAu2 structure (PBE, the Open Quantum Materials Database).

```
TbGd2In3PtAu2
1.0
3.966 0.000 0.000
0.000 6.714 3.877
0.000 -6.714 3.877
Pt Au In Gd Tb
1 2 3 2 1
Direct
0.000 0.000 0.000
0.500 0.333 0.667
0.500 0.667 0.333
0.500 0.744 0.000
0.500 0.000 0.744
0.500 0.256 0.256
0.000 0.401 0.000
0.000 0.000 0.401
0.000 0.599 0.599
```

Values from the calculation:
* total magnetic moment: 0.03 Bohr magnetons per cell
* calculated total energy: -42.275 eV/f.u.


# CoAs2Pt

A geometry-optimized CoAs2Pt structure (PBE, the Open Quantum Materials Database).

```
CoAs2Pt
1.0
0.000 3.159 3.159
3.159 0.000 3.159
3.159 3.159 0.000
Co Pt As
1 1 2
Direct
0.250 0.250 0.250
0.500 0.500 0.500
0.000 0.000 0.000
0.750 0.750 0.750
```

Values from the calculation:
* total magnetic moment: 1.69 Bohr magnetons per cell
* calculated total energy: -21.014 eV/f.u.


# Zn2TeAu

A geometry-optimized Zn2TeAu structure (PBE, the Open Quantum Materials Database).

```
Zn2TeAu
1.0
0.000 3.445 3.445
3.445 0.000 3.445
3.445 3.445 0.000
Au Te Zn
1 1 2
Direct
0.500 0.500 0.500
0.750 0.750 0.750
0.250 0.250 0.250
0.000 0.000 0.000
```

Values from the calculation:
* calculated total energy: -8.179 eV/f.u.


# Hf7B4C4

A geometry-optimized Hf7B4C4 structure (PBE, the Open Quantum Materials Database).

```
Hf7B4C4
1.0
-12.694 11.143 2.433
-13.169 10.632 -2.179
11.459 -12.641 0.317
C Hf B
4 7 4
Direct
0.715 0.715 0.000
0.146 0.146 0.000
0.285 0.285 0.000
0.854 0.854 0.000
0.350 0.350 0.000
0.080 0.080 0.000
0.783 0.783 0.000
0.920 0.920 0.000
0.000 0.500 0.500
0.217 0.217 0.000
0.650 0.650 0.000
0.555 0.555 0.000
0.445 0.445 0.000
0.473 0.973 0.500
0.527 0.027 0.500
```

Values from the calculation:
* total magnetic moment: 0.00 Bohr magnetons per cell
* calculated total energy: -146.795 eV/f.u.


# BaCuBiPt

A geometry-optimized BaCuBiPt structure (PBE, the Open Quantum Materials Database).

```
BaCuBiPt
1.0
0.882 2.114 4.652
-2.294 4.467 1.295
-3.751 0.046 3.580
Pt Bi Ba Cu
1 1 1 1
Direct
0.250 0.250 0.250
0.000 0.000 0.000
0.500 0.500 0.500
0.750 0.750 0.750
```

Values from the calculation:
* total magnetic moment: 0.00 Bohr magnetons per cell
* energy relative to the lowest polymorph listed for this composition: 0 kJ/mol of formula units